# 1
Below is ZnGaN2 after structural relaxation, with properties calculated at the GGA-PBE level.

a b c (Å): 3.2592 3.2592 16.9909
angles (deg): 90.00 90.00 120.00
Space group R-3m (No. 166, hexagonal axes)
Unique sites:
Zn 0.0000 0.0000 0.0000 [3 per cell]
Ga 0.0000 0.0000 0.5000 [3 per cell]
N 0.0000 0.0000 0.3953 [6 per cell]

Output
Its crystal system is trigonal. As for the formation energy (no corrections): 0.69 eV/atom. Its excess energy over the best structure of this formula in the dataset is 612.3 meV/atom. The calculation puts the size of the total moment at 0.0 Bohr magnetons per cell. For the total energy, the calculation gives -4.55 eV/atom.


# 2
Below is ZrScAl2 after structural relaxation, with properties calculated at the GGA-PBE level.

a b c (Å): 6.054 8.280 3.083
angles (deg): 90.00 90.00 90.00
Space group Cmmm (No. 65)
Unique sites:
Zr 0.000 0.000 0.000 [2 per cell]
Sc 0.000 0.500 0.000 [2 per cell]
Al 0.250 0.250 0.500 [4 per cell]

Output
Its crystal system is orthorhombic. Its excess energy over the best structure of this formula in the dataset is 8.0 meV/atom. The calculation puts the size of the total moment at 0.0 Bohr magnetons per cell. For the total energy, the calculation gives -6.02 eV/atom. The calculation puts the formation energy at -0.431 eV per atom.


# 3
Below is Cs3Sn5Te12 after structural relaxation, with properties calculated at the GGA-PBE level.

a b c (Å): 18.948 18.948 18.948
angles (deg): 90.00 90.00 90.00
Space group Ia-3d (No. 230)
Unique sites:
Cs 0.000 0.250 0.125 [24 per cell]
Sn 0.000 0.000 0.000 [16 per cell]
Sn 0.000 0.250 0.375 [24 per cell]
Te 0.038 0.058 0.642 [96 per cell]

Output
Its crystal system is cubic. As for the formation energy (no corrections): -0.23 eV/atom. The calculation puts the size of the total moment at 0.0 Bohr magnetons per cell. For the total energy, the calculation gives -3.25 eV/atom.


# 4
Below is CePm2I after structural relaxation, with properties calculated at the GGA-PBE level.

a b c (Å): 3.7773 3.7773 32.3901
angles (deg): 90.00 90.00 120.00
Space group R3m (No. 160, hexagonal axes)
Unique sites:
Ce 0.0000 0.0000 0.0000 [3 per cell]
Pm 0.0000 0.0000 0.2445 [3 per cell]
Pm 0.0000 0.0000 0.4218 [3 per cell]
I 0.0000 0.0000 0.8330 [3 per cell]

Output
Its crystal system is trigonal. As for the formation energy (no corrections): -0.31 eV/atom. Its excess energy over the best structure of this formula in the dataset is 0.0 meV/atom. The calculation puts the size of the total moment at 4.7 Bohr magnetons per cell. For the total energy, the calculation gives -4.56 eV/atom.


Q: What is the formula in the fourth record?
A: CePm2I


Q: Which value of size of the total moment does entry 3 give?
A: 0.0 Bohr magnetons per cell


What did the second record say?
Below is ZrScAl2 after structural relaxation, with properties calculated at the GGA-PBE level.

a b c (Å): 6.054 8.280 3.083
angles (deg): 90.00 90.00 90.00
Space group Cmmm (No. 65)
Unique sites:
Zr 0.000 0.000 0.000 [2 per cell]
Sc 0.000 0.500 0.000 [2 per cell]
Al 0.250 0.250 0.500 [4 per cell]

Output
Its crystal system is orthorhombic. Its excess energy over the best structure of this formula in the dataset is 8.0 meV/atom. The calculation puts the size of the total moment at 0.0 Bohr magnetons per cell. For the total energy, the calculation gives -6.02 eV/atom. The calculation puts the formation energy at -0.431 eV per atom.